The following is a DFT calculation (PBE-GGA) of crystalline Th5Tl3Co at its relaxed geometry.

Output
- theoretical density (g/cm3) = 11.7
- energy of formation from the pure elements (eV per atom) = -0.1690

a = 6.3308 Å, b = 9.7300 Å, c = 9.7300 Å
α = 120.00°, β = 90.00°, γ = 90.00°
Last column: nearest neighbours and their distance in Å.
Fractional positions:
Th: 0.0000 0.3333 0.6667  2 Th 3.17, 6 Tl 3.36
Th: 0.5000 0.6667 0.3333  2 Th 3.17, 6 Tl 3.36
Th: 0.0000 0.6667 0.3333  2 Th 3.17, 6 Tl 3.36
Th: 0.5000 0.3333 0.6667  2 Th 3.17, 6 Tl 3.36
Th: 0.7500 0.7656 0.0000  2 Co 2.78
Th: 0.7500 0.2344 0.2344  2 Co 2.78
Th: 0.7500 0.0000 0.7656  2 Co 2.78
Th: 0.2500 0.2344 0.0000  2 Co 2.78
Th: 0.2500 0.7656 0.7656  2 Co 2.78
Th: 0.2500 0.0000 0.2344  2 Co 2.78
Tl: 0.7500 0.4034 0.0000  9 Th 3.36-3.57, 2 Tl 3.68
Tl: 0.7500 0.5966 0.5966  9 Th 3.36-3.57, 2 Tl 3.68
Tl: 0.7500 0.0000 0.4034  9 Th 3.36-3.57, 2 Tl 3.68
Tl: 0.2500 0.5966 0.0000  9 Th 3.36-3.57, 2 Tl 3.68
Tl: 0.2500 0.4034 0.4034  9 Th 3.36-3.57, 2 Tl 3.68
Tl: 0.2500 0.0000 0.5966  9 Th 3.36-3.57, 2 Tl 3.68
Co: 0.0000 0.0000 0.0000  6 Th 2.78
Co: 0.5000 0.0000 0.0000  6 Th 2.78